No. 1
# PBE Pa2ZnGe4Pt3, optimized geometry
data_Pa2ZnGe4Pt3
_cell_length_a 4.2796
_cell_length_b 4.2796
_cell_length_c 10.2179
_cell_angle_alpha 90.00
_cell_angle_beta 90.00
_cell_angle_gamma 90.00
_symmetry_space_group_name_H-M 'P 1'
_symmetry_Int_Tables_number 1
loop_
_symmetry_equiv_pos_as_xyz
'x,y,z'
loop_
_atom_site_label
_atom_site_type_symbol
_atom_site_fract_x
_atom_site_fract_y
_atom_site_fract_z
_atom_site_occupancy
Zn1 Zn 0.5000 0.5000 0.5000 1
Pt1 Pt 0.5000 0.0000 0.8712 1
Pt2 Pt 0.0000 0.0000 0.5000 1
Pt3 Pt 0.0000 0.5000 0.1288 1
Ge1 Ge 0.5000 0.5000 0.0000 1
Ge2 Ge 0.0000 0.0000 0.0000 1
Ge3 Ge 0.5000 0.0000 0.6345 1
Ge4 Ge 0.0000 0.5000 0.3655 1
Pa1 Pa 0.0000 0.5000 0.7479 1
Pa2 Pa 0.5000 0.0000 0.2521 1
# Fermi-level density of states: 0.749 states/eV per atom
# energy of formation from the pure elements: -0.6132 eV per atom
# magnetization: 0.5 μB per formula unit

No. 2
# PBE Pa2ZnGe3Pt4, optimized geometry
data_Pa2ZnGe3Pt4
_cell_length_a 4.2054
_cell_length_b 4.2054
_cell_length_c 10.5023
_cell_angle_alpha 90.00
_cell_angle_beta 90.00
_cell_angle_gamma 90.00
_symmetry_space_group_name_H-M 'P 1'
_symmetry_Int_Tables_number 1
loop_
_symmetry_equiv_pos_as_xyz
'x,y,z'
loop_
_atom_site_label
_atom_site_type_symbol
_atom_site_fract_x
_atom_site_fract_y
_atom_site_fract_z
_atom_site_occupancy
Ge1 Ge 0.5000 0.0000 0.8681 1
Ge2 Ge 0.0000 0.0000 0.5000 1
Ge3 Ge 0.0000 0.5000 0.1319 1
Pt1 Pt 0.0000 0.0000 0.0000 1
Pt2 Pt 0.5000 0.0000 0.6397 1
Pt3 Pt 0.0000 0.5000 0.3603 1
Pt4 Pt 0.5000 0.5000 0.0000 1
Pa1 Pa 0.0000 0.5000 0.7498 1
Pa2 Pa 0.5000 0.0000 0.2502 1
Zn1 Zn 0.5000 0.5000 0.5000 1
# Fermi-level density of states: 0.853 states/eV per atom
# energy of formation from the pure elements: -0.7115 eV per atom
# magnetization: 0.0 μB per formula unit

No. 3
# PBE Pa2ZnGe3Pt6, optimized geometry
data_Pa2ZnGe3Pt6
_cell_length_a 4.0474
_cell_length_b 4.0474
_cell_length_c 15.5368
_cell_angle_alpha 90.00
_cell_angle_beta 90.00
_cell_angle_gamma 90.00
_symmetry_space_group_name_H-M 'P 1'
_symmetry_Int_Tables_number 1
loop_
_symmetry_equiv_pos_as_xyz
'x,y,z'
loop_
_atom_site_label
_atom_site_type_symbol
_atom_site_fract_x
_atom_site_fract_y
_atom_site_fract_z
_atom_site_occupancy
Pt1 Pt 0.5000 0.0000 0.3974 1
Pt2 Pt 0.0000 0.5000 0.3974 1
Pt3 Pt 0.0000 0.5000 0.6026 1
Pt4 Pt 0.0000 0.0000 0.1510 1
Pt5 Pt 0.0000 0.0000 0.8490 1
Pt6 Pt 0.5000 0.0000 0.6026 1
Pa1 Pa 0.5000 0.5000 0.2206 1
Pa2 Pa 0.5000 0.5000 0.7794 1
Ge1 Ge 0.0000 0.0000 0.6912 1
Ge2 Ge 0.0000 0.0000 0.0000 1
Ge3 Ge 0.0000 0.0000 0.3088 1
Zn1 Zn 0.5000 0.5000 0.5000 1
# Fermi-level density of states: 1.178 states/eV per atom
# energy of formation from the pure elements: -0.4346 eV per atom
# magnetization: 2.0 μB per formula unit

No. 4
# PBE Pu3PaGe2, optimized geometry
data_Pu3PaGe2
_cell_length_a 10.3769
_cell_length_b 10.3769
_cell_length_c 10.3769
_cell_angle_alpha 31.11
_cell_angle_beta 31.11
_cell_angle_gamma 31.11
_symmetry_space_group_name_H-M 'P 1'
_symmetry_Int_Tables_number 1
loop_
_symmetry_equiv_pos_as_xyz
'x,y,z'
loop_
_atom_site_label
_atom_site_type_symbol
_atom_site_fract_x
_atom_site_fract_y
_atom_site_fract_z
_atom_site_occupancy
Pu1 Pu 0.7500 0.4361 0.0639 1
Pu2 Pu 0.5639 0.9361 0.2500 1
Pu3 Pu 0.9361 0.2500 0.5639 1
Pu4 Pu 0.2500 0.5639 0.9361 1
Pu5 Pu 0.4361 0.0639 0.7500 1
Pu6 Pu 0.0639 0.7500 0.4361 1
Ge1 Ge 0.1652 0.1652 0.1652 1
Ge2 Ge 0.3348 0.3348 0.3348 1
Ge3 Ge 0.8348 0.8348 0.8348 1
Ge4 Ge 0.6652 0.6652 0.6652 1
Pa1 Pa 0.0000 0.0000 0.0000 1
Pa2 Pa 0.5000 0.5000 0.5000 1
# Fermi-level density of states: 3.196 states/eV per atom
# energy of formation from the pure elements: -0.1467 eV per atom
# magnetization: 16.0 μB per formula unit

No. 5
# PBE Pu6PaGe5, optimized geometry
data_Pu6PaGe5
_cell_length_a 5.1320
_cell_length_b 6.5769
_cell_length_c 9.0266
_cell_angle_alpha 111.36
_cell_angle_beta 106.51
_cell_angle_gamma 90.00
_symmetry_space_group_name_H-M 'P 1'
_symmetry_Int_Tables_number 1
loop_
_symmetry_equiv_pos_as_xyz
'x,y,z'
loop_
_atom_site_label
_atom_site_type_symbol
_atom_site_fract_x
_atom_site_fract_y
_atom_site_fract_z
_atom_site_occupancy
Pu1 Pu 0.1820 0.4445 0.3641 1
Pu2 Pu 0.5000 0.2872 0.0000 1
Pu3 Pu 0.5000 0.7128 0.0000 1
Pu4 Pu 0.8180 0.0804 0.6359 1
Pu5 Pu 0.1820 0.9196 0.3641 1
Pu6 Pu 0.8180 0.5555 0.6359 1
Ge1 Ge 0.6428 0.1428 0.2856 1
Ge2 Ge 0.3572 0.8572 0.7144 1
Ge3 Ge 0.3346 0.3346 0.6691 1
Ge4 Ge 0.6654 0.6654 0.3309 1
Ge5 Ge 0.0000 0.5000 0.0000 1
Pa1 Pa 0.0000 0.0000 0.0000 1
# Fermi-level density of states: 2.801 states/eV per atom
# energy of formation from the pure elements: -0.3557 eV per atom
# magnetization: 34.7 μB per formula unit

No. 6
# PBE Pu2Pa4Ge3, optimized geometry
data_Pu2Pa4Ge3
_cell_length_a 5.3282
_cell_length_b 8.7987
_cell_length_c 8.7994
_cell_angle_alpha 93.87
_cell_angle_beta 90.86
_cell_angle_gamma 90.86
_symmetry_space_group_name_H-M 'P 1'
_symmetry_Int_Tables_number 1
loop_
_symmetry_equiv_pos_as_xyz
'x,y,z'
loop_
_atom_site_label
_atom_site_type_symbol
_atom_site_fract_x
_atom_site_fract_y
_atom_site_fract_z
_atom_site_occupancy
Pa1 Pa 0.4998 0.4049 0.7906 1
Pa2 Pa 0.9804 0.1913 0.9452 1
Pa3 Pa 0.5002 0.5951 0.2094 1
Pa4 Pa 0.5196 0.0549 0.8087 1
Pa5 Pa 0.0196 0.8087 0.0548 1
Pa6 Pa 0.4804 0.9451 0.1913 1
Pa7 Pa 0.0002 0.2094 0.5950 1
Pa8 Pa 0.9998 0.7906 0.4050 1
Pu1 Pu 0.5094 0.8081 0.5752 1
Pu2 Pu 0.9906 0.4248 0.1920 1
Pu3 Pu 0.4906 0.1919 0.4248 1
Pu4 Pu 0.0094 0.5752 0.8080 1
Ge1 Ge 0.0182 0.9041 0.7310 1
Ge2 Ge 0.4818 0.2690 0.0959 1
Ge3 Ge 0.9818 0.0959 0.2690 1
Ge4 Ge 0.5182 0.7310 0.9041 1
Ge5 Ge 0.7500 0.4991 0.5009 1
Ge6 Ge 0.2500 0.5009 0.4991 1
# Fermi-level density of states: 1.943 states/eV per atom
# energy of formation from the pure elements: -0.2870 eV per atom
# magnetization: 13.0 μB per formula unit

No. 7
# PBE PuPaGe2, optimized geometry
data_PuPaGe2
_cell_length_a 4.1335
_cell_length_b 4.1335
_cell_length_c 7.3817
_cell_angle_alpha 73.74
_cell_angle_beta 73.74
_cell_angle_gamma 60.00
_symmetry_space_group_name_H-M 'P 1'
_symmetry_Int_Tables_number 1
loop_
_symmetry_equiv_pos_as_xyz
'x,y,z'
loop_
_atom_site_label
_atom_site_type_symbol
_atom_site_fract_x
_atom_site_fract_y
_atom_site_fract_z
_atom_site_occupancy
Ge1 Ge 0.0797 0.0797 0.7608 1
Ge2 Ge 0.2532 0.2532 0.2405 1
Pu1 Pu 0.4997 0.4997 0.5008 1
Pa1 Pa 0.6674 0.6674 0.9978 1
# Fermi-level density of states: 2.942 states/eV per atom
# energy of formation from the pure elements: -0.2297 eV per atom
# magnetization: 5.1 μB per formula unit

No. 8
# PBE PuPa3Ge3, optimized geometry
data_PuPa3Ge3
_cell_length_a 9.5900
_cell_length_b 9.5900
_cell_length_c 12.1180
_cell_angle_alpha 90.00
_cell_angle_beta 90.00
_cell_angle_gamma 143.05
_symmetry_space_group_name_H-M 'P 1'
_symmetry_Int_Tables_number 1
loop_
_symmetry_equiv_pos_as_xyz
'x,y,z'
loop_
_atom_site_label
_atom_site_type_symbol
_atom_site_fract_x
_atom_site_fract_y
_atom_site_fract_z
_atom_site_occupancy
Pa1 Pa 0.7603 0.7603 0.8846 1
Pa2 Pa 0.1200 0.4559 0.3794 1
Pa3 Pa 0.0441 0.3800 0.8794 1
Pa4 Pa 0.8800 0.5441 0.6206 1
Pa5 Pa 0.6200 0.9559 0.1206 1
Pa6 Pa 0.2603 0.2603 0.6154 1
Pa7 Pa 0.2397 0.2397 0.1154 1
Pa8 Pa 0.5441 0.8800 0.6206 1
Pa9 Pa 0.9559 0.6200 0.1206 1
Pa10 Pa 0.7397 0.7397 0.3846 1
Pa11 Pa 0.4559 0.1200 0.3794 1
Pa12 Pa 0.3800 0.0441 0.8794 1
Ge1 Ge 0.2273 0.2273 0.3607 1
Ge2 Ge 0.5399 0.8759 0.8685 1
Ge3 Ge 0.8759 0.5399 0.8685 1
Ge4 Ge 0.4601 0.1241 0.1315 1
Ge5 Ge 0.7273 0.7273 0.1393 1
Ge6 Ge 0.1241 0.4601 0.1315 1
Ge7 Ge 0.0399 0.3759 0.6315 1
Ge8 Ge 0.3759 0.0399 0.6315 1
Ge9 Ge 0.6241 0.9601 0.3685 1
Ge10 Ge 0.9601 0.6241 0.3685 1
Ge11 Ge 0.7727 0.7727 0.6393 1
Ge12 Ge 0.2727 0.2727 0.8607 1
Pu1 Pu 0.0851 0.9149 0.0000 1
Pu2 Pu 0.9149 0.0851 0.0000 1
Pu3 Pu 0.5851 0.4149 0.5000 1
Pu4 Pu 0.4149 0.5851 0.5000 1
# Fermi-level density of states: 1.584 states/eV per atom
# energy of formation from the pure elements: -0.2479 eV per atom
# magnetization: 0.2 μB per formula unit

No. 9
# PBE Pu4Pa2Ge3, optimized geometry
data_Pu4Pa2Ge3
_cell_length_a 4.3877
_cell_length_b 5.9160
_cell_length_c 9.0514
_cell_angle_alpha 111.21
_cell_angle_beta 90.00
_cell_angle_gamma 111.77
_symmetry_space_group_name_H-M 'P 1'
_symmetry_Int_Tables_number 1
loop_
_symmetry_equiv_pos_as_xyz
'x,y,z'
loop_
_atom_site_label
_atom_site_type_symbol
_atom_site_fract_x
_atom_site_fract_y
_atom_site_fract_z
_atom_site_occupancy
Pu1 Pu 0.3421 0.6842 0.0851 1
Pu2 Pu 0.9895 0.9790 0.6565 1
Pu3 Pu 0.6579 0.3158 0.9149 1
Pu4 Pu 0.0105 0.0210 0.3435 1
Pa1 Pa 0.6700 0.3400 0.2339 1
Pa2 Pa 0.3300 0.6600 0.7661 1
Ge1 Ge 0.3426 0.6852 0.4260 1
Ge2 Ge 0.6574 0.3148 0.5740 1
Ge3 Ge 0.0000 0.0000 0.0000 1
# Fermi-level density of states: 2.094 states/eV per atom
# energy of formation from the pure elements: -0.3043 eV per atom
# magnetization: 22.4 μB per formula unit

No. 10
# PBE Pu2Pa5Ge4, optimized geometry
data_Pu2Pa5Ge4
_cell_length_a 3.2300
_cell_length_b 7.8488
_cell_length_c 9.7321
_cell_angle_alpha 86.54
_cell_angle_beta 90.00
_cell_angle_gamma 90.00
_symmetry_space_group_name_H-M 'P 1'
_symmetry_Int_Tables_number 1
loop_
_symmetry_equiv_pos_as_xyz
'x,y,z'
loop_
_atom_site_label
_atom_site_type_symbol
_atom_site_fract_x
_atom_site_fract_y
_atom_site_fract_z
_atom_site_occupancy
Pa1 Pa 0.0000 0.8430 0.1419 1
Pa2 Pa 0.0000 0.5497 0.6835 1
Pa3 Pa 0.0000 0.1570 0.8581 1
Pa4 Pa 0.0000 0.4503 0.3165 1
Pa5 Pa 0.0000 0.5000 0.0000 1
Ge1 Ge 0.5000 0.2537 0.5799 1
Ge2 Ge 0.5000 0.8000 0.8759 1
Ge3 Ge 0.5000 0.7463 0.4201 1
Ge4 Ge 0.5000 0.2000 0.1241 1
Pu1 Pu 0.0000 0.0794 0.3632 1
Pu2 Pu 0.0000 0.9206 0.6368 1
# Fermi-level density of states: 2.240 states/eV per atom
# energy of formation from the pure elements: -0.1625 eV per atom
# magnetization: 12.0 μB per formula unit

No. 11
# PBE PuPa5Ge3, optimized geometry
data_PuPa5Ge3
_cell_length_a 7.3124
_cell_length_b 7.3124
_cell_length_c 9.3353
_cell_angle_alpha 113.06
_cell_angle_beta 113.06
_cell_angle_gamma 90.00
_symmetry_space_group_name_H-M 'P 1'
_symmetry_Int_Tables_number 1
loop_
_symmetry_equiv_pos_as_xyz
'x,y,z'
loop_
_atom_site_label
_atom_site_type_symbol
_atom_site_fract_x
_atom_site_fract_y
_atom_site_fract_z
_atom_site_occupancy
Ge1 Ge 0.6238 0.1238 0.0000 1
Ge2 Ge 0.3762 0.8762 0.0000 1
Ge3 Ge 0.1238 0.3762 0.0000 1
Ge4 Ge 0.8762 0.6238 0.0000 1
Ge5 Ge 0.2500 0.2500 0.5000 1
Ge6 Ge 0.7500 0.7500 0.5000 1
Pa1 Pa 0.5431 0.6840 0.7271 1
Pa2 Pa 0.8160 0.9569 0.2729 1
Pa3 Pa 0.3160 0.8160 0.2729 1
Pa4 Pa 0.0431 0.5431 0.7271 1
Pa5 Pa 0.4569 0.3160 0.2729 1
Pa6 Pa 0.0000 0.0000 0.0000 1
Pa7 Pa 0.5000 0.5000 0.0000 1
Pa8 Pa 0.1840 0.0431 0.7271 1
Pa9 Pa 0.6840 0.1840 0.7271 1
Pa10 Pa 0.9569 0.4569 0.2729 1
Pu1 Pu 0.7500 0.2500 0.5000 1
Pu2 Pu 0.2500 0.7500 0.5000 1
# Fermi-level density of states: 1.805 states/eV per atom
# energy of formation from the pure elements: -0.2424 eV per atom
# magnetization: 5.1 μB per formula unit

> Which value of magnetization does entry 7 give?

5.1 μB per formula unit